1.
# Be2SbOs

Crystalline Be2SbOs at its relaxed geometry (GGA-PBE, Alexandria).

Cell lengths 3.1065, 3.5232, 5.0623 Å; angles 90.00, 90.00, 90.00 degrees
Positions (direct):
Be 0.5000 0.5000 0.2453
Be 0.0000 0.0000 0.0307
Os 0.0000 0.0000 0.4718
Sb 0.5000 0.5000 0.7522

Summary:
The value obtained for the total energy is -21.4 eV/f.u. As for the uncorrected formation energy: 0.358 eV/atom. Its density of states at the Fermi level is 0.3970 states/eV/atom.

2.
# AsRhCl2

Crystalline AsRhCl2 at its relaxed geometry (GGA-PBE, Alexandria).

Cell lengths 3.0508, 3.0508, 8.7623 Å; angles 90.00, 90.00, 90.00 degrees
Positions (direct):
Cl 0.0000 0.0000 0.4347
Cl 0.0000 0.0000 0.0653
Rh 0.5000 0.5000 0.2500
As 0.5000 0.5000 0.7500

Summary:
The energy above the most stable polymorph in this dataset comes out at 4.33 eV/f.u. The value obtained for the total energy is -13.8 eV/f.u. As for the uncorrected formation energy: 0.483 eV/atom. Its density of states at the Fermi level is 0.8596 states/eV/atom.

3.
# Sm4P3Se

Crystalline Sm4P3Se at its relaxed geometry (GGA-PBE, Alexandria).

Cell lengths 4.1190, 7.1428, 7.1428 Å; angles 70.68, 90.00, 90.00 degrees
Positions (direct):
P 0.0000 0.5001 0.5000
P 0.0000 0.0001 0.0000
P 0.5000 0.0001 0.5000
Se 0.5000 0.5001 0.0000
Sm 0.4998 0.2455 0.7454
Sm 0.0000 0.2395 0.2606
Sm 0.0000 0.7608 0.7393
Sm 0.5001 0.7547 0.2546

Summary:
The value obtained for the total energy is -52.2 eV/f.u. As for the uncorrected formation energy: -1.703 eV/atom. Its density of states at the Fermi level is 0.1654 states/eV/atom.

4.
# Li2TmPb2

Crystalline Li2TmPb2 at its relaxed geometry (GGA-PBE, Alexandria).

Cell lengths 3.2338, 8.3827, 8.3827 Å; angles 90.00, 90.00, 90.00 degrees
Positions (direct):
Pb 0.5000 0.1802 0.6802
Pb 0.5000 0.3198 0.1802
Pb 0.5000 0.6802 0.8198
Pb 0.5000 0.8198 0.3198
Li 0.0000 0.6141 0.1141
Li 0.0000 0.8859 0.6141
Li 0.0000 0.1141 0.3859
Li 0.0000 0.3859 0.8859
Tm 0.0000 0.5000 0.5000
Tm 0.0000 0.0000 0.0000

Summary:
The energy above the most stable polymorph in this dataset comes out at 0.00 eV/f.u. As for the formation energy: -0.302 eV per atom. The value obtained for the total energy is -17.2 eV/f.u. Its density of states at the Fermi level is 0.5088 states/eV/atom.

Copy entry 3 word for word.
# Sm4P3Se

Crystalline Sm4P3Se at its relaxed geometry (GGA-PBE, Alexandria).

Cell lengths 4.1190, 7.1428, 7.1428 Å; angles 70.68, 90.00, 90.00 degrees
Positions (direct):
P 0.0000 0.5001 0.5000
P 0.0000 0.0001 0.0000
P 0.5000 0.0001 0.5000
Se 0.5000 0.5001 0.0000
Sm 0.4998 0.2455 0.7454
Sm 0.0000 0.2395 0.2606
Sm 0.0000 0.7608 0.7393
Sm 0.5001 0.7547 0.2546

Summary:
The value obtained for the total energy is -52.2 eV/f.u. As for the uncorrected formation energy: -1.703 eV/atom. Its density of states at the Fermi level is 0.1654 states/eV/atom.

Copy entry 4 word for word.
# Li2TmPb2

Crystalline Li2TmPb2 at its relaxed geometry (GGA-PBE, Alexandria).

Cell lengths 3.2338, 8.3827, 8.3827 Å; angles 90.00, 90.00, 90.00 degrees
Positions (direct):
Pb 0.5000 0.1802 0.6802
Pb 0.5000 0.3198 0.1802
Pb 0.5000 0.6802 0.8198
Pb 0.5000 0.8198 0.3198
Li 0.0000 0.6141 0.1141
Li 0.0000 0.8859 0.6141
Li 0.0000 0.1141 0.3859
Li 0.0000 0.3859 0.8859
Tm 0.0000 0.5000 0.5000
Tm 0.0000 0.0000 0.0000

Summary:
The energy above the most stable polymorph in this dataset comes out at 0.00 eV/f.u. As for the formation energy: -0.302 eV per atom. The value obtained for the total energy is -17.2 eV/f.u. Its density of states at the Fermi level is 0.5088 states/eV/atom.

Repeat the third record exactly.
# Sm4P3Se

Crystalline Sm4P3Se at its relaxed geometry (GGA-PBE, Alexandria).

Cell lengths 4.1190, 7.1428, 7.1428 Å; angles 70.68, 90.00, 90.00 degrees
Positions (direct):
P 0.0000 0.5001 0.5000
P 0.0000 0.0001 0.0000
P 0.5000 0.0001 0.5000
Se 0.5000 0.5001 0.0000
Sm 0.4998 0.2455 0.7454
Sm 0.0000 0.2395 0.2606
Sm 0.0000 0.7608 0.7393
Sm 0.5001 0.7547 0.2546

Summary:
The value obtained for the total energy is -52.2 eV/f.u. As for the uncorrected formation energy: -1.703 eV/atom. Its density of states at the Fermi level is 0.1654 states/eV/atom.

What did the second record say?
# AsRhCl2

Crystalline AsRhCl2 at its relaxed geometry (GGA-PBE, Alexandria).

Cell lengths 3.0508, 3.0508, 8.7623 Å; angles 90.00, 90.00, 90.00 degrees
Positions (direct):
Cl 0.0000 0.0000 0.4347
Cl 0.0000 0.0000 0.0653
Rh 0.5000 0.5000 0.2500
As 0.5000 0.5000 0.7500

Summary:
The energy above the most stable polymorph in this dataset comes out at 4.33 eV/f.u. The value obtained for the total energy is -13.8 eV/f.u. As for the uncorrected formation energy: 0.483 eV/atom. Its density of states at the Fermi level is 0.8596 states/eV/atom.